Below is a relaxed KLi3Mn4I12 crystal, with properties calculated at the GGA-PBE level.

Structure (extended XYZ):
```
20
Lattice="-9.304 -3.638 0.124 5.964 -7.335 -3.231 2.535 1.867 9.482" Properties=species:S:1:pos:R:3 pbc="T T T"
I -1.444 -7.933 -1.852
I -5.194 -6.781 -0.600
Mn 1.080 -8.531 -2.309
Li -2.648 -0.543 5.384
Mn -7.004 -2.954 4.638
I 5.364 -3.638 5.142
I 5.778 -6.049 1.829
Li -2.619 -5.257 -1.345
K 0.000 0.000 0.000
I -0.960 -3.055 5.257
Mn -0.402 -4.553 3.187
Mn 4.717 -2.173 7.233
I -2.330 -5.449 1.663
I 2.084 -5.155 2.641
I -5.117 -1.976 6.194
I -1.790 -0.828 8.332
Li 4.463 -3.306 2.335
I -6.527 -4.505 2.562
I 3.074 -7.705 -0.799
I 2.237 -1.559 7.876
```

Results
- Electronic total energy: -3.77 eV per atom
- Density of states at the Fermi level: 0.00 states/eV per cell
- Theoretical density: 3606 kg/m3
- Spin magnetization: 20.00 μB per formula unit
- Formation energy (no corrections): -1274.6 kJ/mol of formula units